Entry 1:
Entry from the Open Quantum Materials Database: a relaxed structure of HoErCd4 (PBE).

Results
- Formation energy: -1.89 eV/f.u.
- Total magnetic moment: 0.001 μB per atom

abc: 5.992 5.992 5.992
angles: 131.49 110.52 89.26
Fractional coordinates of all 6 atoms:
Cd  0.077  0.833  0.243
Cd  0.424  0.167  0.257
Cd  0.910  0.167  0.743
Cd  0.590  0.833  0.757
Er  0.495  0.495  0.000
Ho  0.005  0.505  0.500

---

Entry 2:
Entry from the Open Quantum Materials Database: a relaxed structure of PmBeAu3 (PBE).

Results
- Raw total energy: -42.06 eV for the cell shown
- Total magnetic moment: 0.001 μB per atom

abc: 6.442 6.442 5.309
angles: 90.00 90.00 120.00
Fractional coordinates of all 10 atoms:
Au  0.819  0.181  0.250
Au  0.363  0.181  0.250
Au  0.819  0.637  0.250
Au  0.181  0.363  0.750
Au  0.637  0.819  0.750
Au  0.181  0.819  0.750
Be  0.000  0.000  0.000
Be  0.000  0.000  0.500
Pm  0.333  0.667  0.250
Pm  0.667  0.333  0.750

---

Entry 3:
Entry from the Open Quantum Materials Database: a relaxed structure of NpZn (PBE).

Results
- Formation energy: 3.00 eV/f.u.
- Total magnetic moment: 2.505 μB per atom

abc: 4.601 4.601 4.601
angles: 60.00 60.00 60.00
Fractional coordinates of all 2 atoms:
Np  0.000  0.000  0.000
Zn  0.250  0.250  0.250

---

Entry 4:
Entry from the Open Quantum Materials Database: a relaxed structure of NaLiMoPt (PBE).

Results
- Total magnetic moment: 0.000 μB per atom
- Energy relative to the lowest polymorph listed for this composition: 0 meV/atom

abc: 4.423 4.423 4.423
angles: 60.00 60.00 60.00
Fractional coordinates of all 4 atoms:
Li  0.500  0.500  0.500
Mo  0.000  0.000  0.000
Na  0.750  0.750  0.750
Pt  0.250  0.250  0.250

---

Entry 5:
Entry from the Open Quantum Materials Database: a relaxed structure of Li2Mg2GaPd2Pb (PBE).

Results
- Raw total energy: -27.96 eV for the cell shown

abc: 4.544 4.544 6.519
angles: 90.00 90.00 90.00
Fractional coordinates of all 8 atoms:
Ga  0.000  0.000  0.000
Li  0.500  0.000  0.230
Li  0.000  0.500  0.770
Mg  0.500  0.500  0.000
Mg  0.000  0.000  0.500
Pb  0.500  0.500  0.500
Pd  0.000  0.500  0.224
Pd  0.500  0.000  0.776

---

Entry 6:
Entry from the Open Quantum Materials Database: a relaxed structure of TaAlCoCu (PBE).

Results
- Total magnetic moment: 0.000 μB per atom
- Energy relative to the lowest polymorph listed for this composition: 194 meV/atom

abc: 4.240 4.240 4.240
angles: 60.00 60.00 60.00
Fractional coordinates of all 4 atoms:
Al  0.500  0.500  0.500
Co  0.000  0.000  0.000
Cu  0.750  0.750  0.750
Ta  0.250  0.250  0.250